# 1
This record from Alexandria describes crystalline Sr4AsIr at its relaxed geometry. The functional is PBE-GGA.

Summary:
Fermi-level density of states in states/eV per cell: 1.137
Total moment in μB/atom: 0.000
SG: No. 216
Energy of formation from the pure elements in eV/atom: 0.71

Cell: 6.3875 6.3875 6.3875 Å, 60.00 60.00 60.00°
Fractional coordinates of all 6 atoms:
Sr 0.1255 0.1255 0.1255
Sr 0.1255 0.1255 0.6236
Sr 0.1255 0.6236 0.1255
Sr 0.6236 0.1255 0.1255
As 0.7500 0.7500 0.7500
Ir 0.5000 0.5000 0.5000

***

# 2
This record from Alexandria describes crystalline SrAs2Ir at its relaxed geometry. The functional is PBE-GGA.

Summary:
Fermi-level density of states in states/eV per cell: 3.588
Total moment in μB/atom: 0.000
SG: No. 216
Energy of formation from the pure elements in eV/atom: 0.21

Cell: 4.8933 4.8933 4.8933 Å, 60.00 60.00 60.00°
Fractional coordinates of all 4 atoms:
Sr 0.0000 0.0000 0.0000
As 0.2500 0.2500 0.2500
As 0.5000 0.5000 0.5000
Ir 0.7500 0.7500 0.7500

***

# 3
This record from Alexandria describes crystalline Sr2AsIr2 at its relaxed geometry. The functional is PBE-GGA.

Summary:
Fermi-level density of states in states/eV per cell: 7.356
Total moment in μB/atom: 0.148
SG: No. 127
Energy of formation from the pure elements in eV/atom: -0.22

Cell: 6.8816 6.8816 4.8046 Å, 90.00 90.00 90.00°
Fractional coordinates of all 10 atoms:
Sr 0.1783 0.3217 0.0000
Sr 0.3217 0.8217 0.0000
Sr 0.6783 0.1783 0.0000
Sr 0.8217 0.6783 0.0000
As 0.0000 0.0000 0.5000
As 0.5000 0.5000 0.5000
Ir 0.1303 0.6303 0.5000
Ir 0.3697 0.1303 0.5000
Ir 0.6303 0.8697 0.5000
Ir 0.8697 0.3697 0.5000

***

# 4
This record from Alexandria describes crystalline SrAs3Ir at its relaxed geometry. The functional is PBE-GGA.

Summary:
Energy above the lowest structure with this stoichiometry in kcal/mol of atoms: 45.49
Fermi-level density of states in states/eV per cell: 7.441
Total moment in μB/atom: 0.416
SG: No. 221
Energy of formation from the pure elements in eV/atom: 1.94

Cell: 5.4389 5.4389 5.4389 Å, 90.00 90.00 90.00°
Fractional coordinates of all 5 atoms:
Sr 0.0000 0.0000 0.0000
As 0.0000 0.0000 0.5000
As 0.0000 0.5000 0.0000
As 0.5000 0.0000 0.0000
Ir 0.5000 0.5000 0.5000

***

# 5
This record from Alexandria describes crystalline Sr2TeAsIr at its relaxed geometry. The functional is PBE-GGA.

Summary:
Fermi-level density of states in states/eV per cell: 1.207
Total moment in μB/atom: 0.000
SG: No. 123
Formation energy from raw total energies in eV/f.u.: -4.24

Cell: 5.9669 5.9669 4.5458 Å, 90.00 90.00 90.00°
Fractional coordinates of all 5 atoms:
Sr 0.0000 0.5000 0.0000
Sr 0.5000 0.0000 0.0000
Te 0.0000 0.0000 0.5000
As 0.5000 0.5000 0.5000
Ir 0.5000 0.5000 0.0000

***

# 6
This record from Alexandria describes crystalline SrVAsIr2 at its relaxed geometry. The functional is PBE-GGA.

Summary:
Fermi-level density of states in states/eV per cell: 11.001
Total moment in μB/atom: 0.122
SG: No. 123
Energy of formation from the pure elements in eV/atom: 0.44

Cell: 4.7403 4.7403 4.6163 Å, 90.00 90.00 90.00°
Fractional coordinates of all 5 atoms:
Sr 0.0000 0.0000 0.0000
V 0.5000 0.5000 0.0000
As 0.5000 0.5000 0.5000
Ir 0.0000 0.5000 0.5000
Ir 0.5000 0.0000 0.5000

***

# 7
This record from Alexandria describes crystalline SrYAs2Ir at its relaxed geometry. The functional is PBE-GGA.

Summary:
Fermi-level density of states in states/eV per cell: 7.864
Total moment in μB/atom: 0.405
SG: No. 123
Energy of formation from the pure elements in eV/atom: 1.70

Cell: 5.2743 5.2743 5.9227 Å, 90.00 90.00 90.00°
Fractional coordinates of all 5 atoms:
Sr 0.0000 0.0000 0.0000
Y 0.0000 0.0000 0.5000
As 0.0000 0.5000 0.0000
As 0.5000 0.0000 0.0000
Ir 0.5000 0.5000 0.5000

***

# 8
This record from Alexandria describes crystalline SrZrAs2Ir at its relaxed geometry. The functional is PBE-GGA.

Summary:
Fermi-level density of states in states/eV per cell: 4.903
Total moment in μB/atom: 0.307
SG: No. 123
Energy of formation from the pure elements in eV/atom: 0.11

Cell: 5.0866 5.0866 5.0297 Å, 90.00 90.00 90.00°
Fractional coordinates of all 5 atoms:
Sr 0.0000 0.0000 0.0000
Zr 0.5000 0.5000 0.0000
As 0.0000 0.5000 0.5000
As 0.5000 0.0000 0.5000
Ir 0.5000 0.5000 0.5000

***

Question: The highest total moment belongs to which entry?
Answer: SrAs3Ir

***

What did the seventh record say?
This record from Alexandria describes crystalline SrYAs2Ir at its relaxed geometry. The functional is PBE-GGA.

Summary:
Fermi-level density of states in states/eV per cell: 7.864
Total moment in μB/atom: 0.405
SG: No. 123
Energy of formation from the pure elements in eV/atom: 1.70

Cell: 5.2743 5.2743 5.9227 Å, 90.00 90.00 90.00°
Fractional coordinates of all 5 atoms:
Sr 0.0000 0.0000 0.0000
Y 0.0000 0.0000 0.5000
As 0.0000 0.5000 0.0000
As 0.5000 0.0000 0.0000
Ir 0.5000 0.5000 0.5000